A:
Entry from Alexandria via LeMat-Bulk: crystalline BaAlSCl2 at its relaxed geometry (GGA-PBE).

a = 5.044 Å, b = 5.044 Å, c = 4.979 Å
α = 90.00°, β = 90.00°, γ = 90.00°
Fractional positions:
S (0.000, 0.000, 0.500)
Al (0.000, 0.000, 0.000)
Ba (0.500, 0.500, 0.500)
Cl (0.000, 0.500, 0.000)
Cl (0.500, 0.000, 0.000)

Properties
**Crystal system**: tetragonal

B:
Entry from Alexandria via LeMat-Bulk: crystalline BaAlSCl2 at its relaxed geometry (GGA-PBE).

a = 5.953 Å, b = 5.953 Å, c = 6.115 Å
α = 90.00°, β = 90.00°, γ = 90.00°
Fractional positions:
S (0.000, 0.000, 0.500)
Al (0.500, 0.500, 0.500)
Ba (0.000, 0.000, 0.000)
Cl (0.000, 0.500, 0.000)
Cl (0.500, 0.000, 0.000)

Properties
**Crystal system**: tetragonal

Energies relative to the most stable structure, in eV/atom: A 0.000; B 0.751.

A:
Entry from Alexandria via LeMat-Bulk: crystalline BaAlCr3 at its relaxed geometry (GGA-PBE).

a = 5.104 Å, b = 5.104 Å, c = 5.104 Å
α = 90.00°, β = 90.00°, γ = 90.00°
Fractional positions:
Cr (0.000, 0.500, 0.000)
Cr (0.000, 0.000, 0.500)
Cr (0.500, 0.000, 0.000)
Ba (0.500, 0.500, 0.500)
Al (0.000, 0.000, 0.000)

Properties
**Crystal system**: cubic

B:
Entry from Alexandria via LeMat-Bulk: crystalline BaAlCr3 at its relaxed geometry (GGA-PBE).

a = 5.179 Å, b = 5.179 Å, c = 5.179 Å
α = 90.00°, β = 90.00°, γ = 90.00°
Fractional positions:
Cr (0.000, 0.500, 0.000)
Cr (0.000, 0.000, 0.500)
Cr (0.500, 0.000, 0.000)
Ba (0.000, 0.000, 0.000)
Al (0.500, 0.500, 0.500)

Properties
**Crystal system**: cubic

Energies relative to the most stable structure, in eV/atom: A 0.000; B 1.371.

A:
Entry from Alexandria via LeMat-Bulk: crystalline BaAl2Cr at its relaxed geometry (GGA-PBE).

a = 4.527 Å, b = 4.527 Å, c = 6.671 Å
α = 70.14°, β = 70.14°, γ = 60.01°
Fractional positions:
Cr (0.250, 0.250, 0.250)
Ba (0.750, 0.750, 0.750)
Al (0.943, 0.943, 0.170)
Al (0.557, 0.557, 0.330)

Properties
**Crystal system**: trigonal

B:
Entry from Alexandria via LeMat-Bulk: crystalline BaAl2Cr at its relaxed geometry (GGA-PBE).

a = 3.363 Å, b = 3.363 Å, c = 7.957 Å
α = 90.00°, β = 90.00°, γ = 90.00°
Fractional positions:
Cr (0.500, 0.500, 0.750)
Ba (0.500, 0.500, 0.250)
Al (0.000, 0.000, 0.922)
Al (0.000, 0.000, 0.578)

Properties
**Crystal system**: tetragonal

Energies relative to the most stable structure, in eV/atom: A 0.000; B 0.103.

A:
Entry from Alexandria via LeMat-Bulk: crystalline BaAl2Cr at its relaxed geometry (GGA-PBE).

a = 4.506 Å, b = 4.447 Å, c = 5.009 Å
α = 90.00°, β = 90.00°, γ = 90.00°
Fractional positions:
Cr (0.000, 0.500, 0.500)
Ba (0.500, 0.000, 0.500)
Al (0.000, 0.000, 0.000)
Al (0.500, 0.500, 0.000)

Properties
**Crystal system**: orthorhombic

B:
Entry from Alexandria via LeMat-Bulk: crystalline BaAl2Cr at its relaxed geometry (GGA-PBE).

a = 4.539 Å, b = 4.539 Å, c = 6.656 Å
α = 70.17°, β = 70.17°, γ = 60.02°
Fractional positions:
Cr (0.317, 0.317, 0.047)
Ba (0.505, 0.505, 0.487)
Al (0.985, 0.985, 0.044)
Al (0.693, 0.693, 0.922)

Properties
**Crystal system**: monoclinic

Energies relative to the most stable structure, in eV/atom: A 0.463; B 0.000.

A:
Entry from Alexandria via LeMat-Bulk: crystalline BaAl2Cr at its relaxed geometry (GGA-PBE).

a = 5.159 Å, b = 5.159 Å, c = 5.159 Å
α = 60.00°, β = 60.00°, γ = 60.00°
Fractional positions:
Cr (0.000, 0.000, 0.000)
Ba (0.500, 0.500, 0.500)
Al (0.250, 0.250, 0.250)
Al (0.750, 0.750, 0.750)

Properties
**Crystal system**: cubic

B:
Entry from Alexandria via LeMat-Bulk: crystalline BaAl2Cr at its relaxed geometry (GGA-PBE).

a = 6.312 Å, b = 6.312 Å, c = 6.312 Å
α = 149.78°, β = 126.54°, γ = 62.65°
Fractional positions:
Cr (0.206, 0.706, 0.500)
Ba (0.509, 0.509, 0.000)
Al (0.994, 0.994, 0.000)
Al (0.791, 0.291, 0.500)

Properties
**Crystal system**: orthorhombic

Energies relative to the most stable structure, in eV/atom: A 0.000; B 0.109.

A:
Entry from Alexandria via LeMat-Bulk: crystalline BaAl2Cr at its relaxed geometry (GGA-PBE).

a = 10.009 Å, b = 10.009 Å, c = 10.009 Å
α = 18.91°, β = 18.91°, γ = 18.91°
Fractional positions:
Cr (0.750, 0.750, 0.750)
Ba (0.250, 0.250, 0.250)
Al (0.018, 0.018, 0.018)
Al (0.482, 0.482, 0.482)

Properties
**Crystal system**: trigonal

B:
Entry from Alexandria via LeMat-Bulk: crystalline BaAl2Cr at its relaxed geometry (GGA-PBE).

a = 5.797 Å, b = 7.077 Å, c = 3.157 Å
α = 63.51°, β = 90.00°, γ = 119.29°
Fractional positions:
Cr (0.500, 0.000, 0.500)
Ba (0.500, 0.500, 0.000)
Al (0.000, 0.000, 0.000)
Al (0.000, 0.500, 0.500)

Properties
**Crystal system**: orthorhombic

Energies relative to the most stable structure, in eV/atom: A 0.000; B 0.083.

A:
Entry from Alexandria via LeMat-Bulk: crystalline BaAl2Cr at its relaxed geometry (GGA-PBE).

a = 5.274 Å, b = 5.274 Å, c = 9.761 Å
α = 74.33°, β = 74.33°, γ = 90.00°
Fractional positions:
Cr (0.500, 0.500, 0.000)
Cr (0.250, 0.750, 0.500)
Ba (0.000, 0.000, 0.000)
Ba (0.750, 0.250, 0.500)
Al (0.375, 0.125, 0.250)
Al (0.375, 0.625, 0.250)
Al (0.375, 0.625, 0.750)
Al (0.875, 0.625, 0.750)

Properties
**Crystal system**: tetragonal

B:
Entry from Alexandria via LeMat-Bulk: crystalline BaAl2Cr at its relaxed geometry (GGA-PBE).

a = 3.464 Å, b = 3.464 Å, c = 7.958 Å
α = 90.00°, β = 90.00°, γ = 90.00°
Fractional positions:
Cr (0.500, 0.500, 0.833)
Ba (0.000, 0.000, 0.503)
Al (0.000, 0.000, 0.987)
Al (0.500, 0.500, 0.177)

Properties
**Crystal system**: tetragonal

Energies relative to the most stable structure, in eV/atom: A 0.044; B 0.000.

A:
Entry from Alexandria via LeMat-Bulk: crystalline BaAl2Cr at its relaxed geometry (GGA-PBE).

a = 4.304 Å, b = 3.292 Å, c = 6.978 Å
α = 89.58°, β = 90.00°, γ = 90.00°
Fractional positions:
Cr (0.500, 0.629, 0.886)
Ba (0.000, 0.619, 0.482)
Al (0.000, 0.127, 0.950)
Al (0.500, 0.124, 0.183)

Properties
**Crystal system**: monoclinic

B:
Entry from Alexandria via LeMat-Bulk: crystalline BaAl2Cr at its relaxed geometry (GGA-PBE).

a = 5.165 Å, b = 5.165 Å, c = 5.165 Å
α = 60.00°, β = 60.00°, γ = 60.00°
Fractional positions:
Cr (0.750, 0.750, 0.750)
Ba (0.500, 0.500, 0.500)
Al (0.000, 0.000, 0.000)
Al (0.250, 0.250, 0.250)

Properties
**Crystal system**: cubic

Energies relative to the most stable structure, in eV/atom: A 0.000; B 0.224.

A:
Entry from Alexandria via LeMat-Bulk: crystalline BaAlCr at its relaxed geometry (GGA-PBE).

a = 5.071 Å, b = 5.071 Å, c = 5.071 Å
α = 60.00°, β = 60.00°, γ = 60.00°
Fractional positions:
Cr (0.750, 0.750, 0.750)
Ba (0.500, 0.500, 0.500)
Al (0.000, 0.000, 0.000)

Properties
**Crystal system**: cubic

B:
Entry from Alexandria via LeMat-Bulk: crystalline BaAlCr at its relaxed geometry (GGA-PBE).

a = 6.649 Å, b = 6.649 Å, c = 6.649 Å
α = 148.26°, β = 148.26°, γ = 45.50°
Fractional positions:
Cr (0.619, 0.619, 0.000)
Ba (0.336, 0.336, 0.000)
Al (0.045, 0.045, 0.000)

Properties
**Crystal system**: tetragonal

Energies relative to the most stable structure, in eV/atom: A 0.257; B 0.000.

A:
Entry from Alexandria via LeMat-Bulk: crystalline BaAlCr at its relaxed geometry (GGA-PBE).

a = 5.377 Å, b = 5.377 Å, c = 5.377 Å
α = 60.00°, β = 60.00°, γ = 60.00°
Fractional positions:
Cr (0.000, 0.000, 0.000)
Ba (0.750, 0.750, 0.750)
Al (0.500, 0.500, 0.500)

Properties
**Crystal system**: cubic

B:
Entry from Alexandria via LeMat-Bulk: crystalline BaAlCr at its relaxed geometry (GGA-PBE).

a = 4.643 Å, b = 4.643 Å, c = 4.956 Å
α = 90.00°, β = 90.00°, γ = 120.00°
Fractional positions:
Cr (0.333, 0.667, 0.833)
Ba (0.667, 0.333, 0.333)
Al (0.000, 0.000, 0.833)

Properties
**Crystal system**: hexagonal

Energies relative to the most stable structure, in eV/atom: A 0.768; B 0.000.

A:
Entry from Alexandria via LeMat-Bulk: crystalline CsBaAl3 at its relaxed geometry (GGA-PBE).

a = 5.918 Å, b = 5.918 Å, c = 5.918 Å
α = 90.00°, β = 90.00°, γ = 90.00°
Fractional positions:
Cs (0.000, 0.000, 0.000)
Ba (0.500, 0.500, 0.500)
Al (0.000, 0.500, 0.000)
Al (0.000, 0.000, 0.500)
Al (0.500, 0.000, 0.000)

Properties
**Crystal system**: cubic

B:
Entry from Alexandria via LeMat-Bulk: crystalline CsBaAl3 at its relaxed geometry (GGA-PBE).

a = 6.304 Å, b = 6.304 Å, c = 6.304 Å
α = 90.00°, β = 90.00°, γ = 90.00°
Fractional positions:
Cs (0.500, 0.500, 0.500)
Ba (0.000, 0.000, 0.000)
Al (0.000, 0.500, 0.000)
Al (0.000, 0.000, 0.500)
Al (0.500, 0.000, 0.000)

Properties
**Crystal system**: cubic

Energies relative to the most stable structure, in eV/atom: A 0.146; B 0.000.

A:
Entry from Alexandria via LeMat-Bulk: crystalline Cs2BaAlF6 at its relaxed geometry (GGA-PBE).

a = 6.839 Å, b = 6.680 Å, c = 6.680 Å
α = 120.00°, β = 90.00°, γ = 90.00°
Fractional positions:
Cs (0.113, 0.333, 0.667)
Cs (0.887, 0.667, 0.333)
Ba (0.500, 0.000, 0.000)
Al (0.000, 0.000, 0.000)
F (0.839, 0.128, 0.255)
F (0.839, 0.128, 0.872)
F (0.839, 0.745, 0.872)
F (0.161, 0.872, 0.128)
F (0.161, 0.255, 0.128)
F (0.161, 0.872, 0.745)

Properties
**Crystal system**: trigonal

B:
Entry from Alexandria via LeMat-Bulk: crystalline Cs2BaAlF6 at its relaxed geometry (GGA-PBE).

a = 6.533 Å, b = 6.533 Å, c = 6.633 Å
α = 60.50°, β = 60.50°, γ = 90.00°
Fractional positions:
Cs (0.750, 0.250, 0.500)
Cs (0.250, 0.750, 0.500)
F (0.305, 0.305, 0.390)
F (0.695, 0.695, 0.610)
F (0.297, 0.297, 0.000)
F (0.703, 0.703, 0.000)
F (0.703, 0.297, 0.000)
F (0.297, 0.703, 0.000)
Ba (0.000, 0.000, 0.000)
Al (0.500, 0.500, 0.000)

Properties
**Crystal system**: tetragonal

Energies relative to the most stable structure, in eV/atom: A 0.000; B 0.109.